# 1
A plane-wave DFT calculation with GGA-PBE was carried out for crystalline TaCdTeI2 at its relaxed geometry.

spin magnetization: 0.00 μB/f.u.
excess energy over the best structure of this formula in the dataset: 0.000 eV per atom
total DFT energy (no corrections): -0.1341 Ha/atom
formation energy (no corrections): 0.15 eV per atom

Cell: 5.642 5.642 5.402 Å, 90.00 90.00 90.00°
Space group P4/mmm (No. 123)
One atom of each set of equivalent atoms:
Ta 0.000 0.000 0.000 x1
Cd 0.500 0.500 0.500 x1
Te 0.000 0.000 0.500 x1
I 0.000 0.500 0.000 x2



# 2
A plane-wave DFT calculation with GGA-PBE was carried out for crystalline Li4HgSb at its relaxed geometry.

spin magnetization: 0.00 μB/f.u.
excess energy over the best structure of this formula in the dataset: 0.071 eV per atom
total DFT energy (no corrections): -0.0878 Ha/atom
formation energy (no corrections): -0.38 eV per atom

Cell: 7.434 8.082 4.517 Å, 90.00 126.70 90.00°
Space group C2/m (No. 12)
One atom of each set of equivalent atoms:
Li 0.249 0.165 0.249 x8
Hg 0.000 0.500 0.000 x2
Sb 0.000 0.000 0.500 x2



# 3
A plane-wave DFT calculation with GGA-PBE was carried out for crystalline Ba3Ga4Ir2Pd2 at its relaxed geometry.

spin magnetization: 0.00 μB/f.u.
total DFT energy (no corrections): -0.1690 Ha/atom

Cell: 4.3321 4.3321 17.6455 Å, 90.00 90.00 120.00°
Space group P-3m1 (No. 164)
One atom of each set of equivalent atoms:
Ba 0.0000 0.0000 0.0000 x1
Ba 0.0000 0.0000 0.2949 x2
Ga 0.3333 0.6667 0.4401 x2
Ga 0.3333 0.6667 0.8565 x2
Ir 0.3333 0.6667 0.5832 x2
Pd 0.3333 0.6667 0.1423 x2



# 4
A plane-wave DFT calculation with GGA-PBE was carried out for crystalline PrNdZnPt at its relaxed geometry.

spin magnetization: 0.00 μB/f.u.
excess energy over the best structure of this formula in the dataset: 0.063 eV per atom
total DFT energy (no corrections): -0.1788 Ha/atom

Cell: 7.317 7.317 7.317 Å, 90.00 90.00 90.00°
Space group F-43m (No. 216)
One atom of each set of equivalent atoms:
Pr 0.000 0.000 0.000 x4
Nd 0.000 0.000 0.500 x4
Zn 0.250 0.250 0.250 x4
Pt 0.250 0.250 0.750 x4